The following is a GGA-PBE calculation of LiFeSb2Te after structural relaxation, from Alexandria.

As for the density of states at the Fermi level: 5.5 states/eV/f.u. The polymorph energy (0 for the lowest one) comes out at 0.0 meV per atom. The total energy is -4.172 eV/atom. The formation energy from raw total energies is 181 meV per atom.

The structure belongs to space group P4/mmm (No. 123); the cell edges are 4.768, 4.768 and 5.928 Å and the angles 90.00°, 90.00° and 90.00°. Symmetry generates all atoms from Li at (0.000, 0.000, 0.000), Fe at (0.500, 0.500, 0.500), Sb at (0.000, 0.500, 0.500) and Te at (0.500, 0.500, 0.000).